(1)
Compound: SrMo2As
Source: Alexandria via LeMat-Bulk
Functional: GGA-PBE
Structure: optimized geometry

Lattice parameters (Å, degrees): 4.5444 4.5444 18.8330 90.00 90.00 90.00
Space group I-42d (No. 122)
Asymmetric unit:
Sr 0.0000 0.0000 0.0000
Mo 0.0832 0.7500 0.6250
As 0.0000 0.0000 0.5000

Output
calculated volume	24.31	Å³ per atom
formation energy from the elements	2.0	eV per formula unit
E_tot	-6.504	eV/atom

(2)
Compound: SrMo2As
Source: Alexandria via LeMat-Bulk
Functional: GGA-PBE
Structure: optimized geometry

Lattice parameters (Å, degrees): 5.9342 10.6719 2.7920 90.00 117.89 90.00
Space group C2/m (No. 12)
Asymmetric unit:
Sr 0.0000 0.0000 0.0000
Mo 0.2500 0.2500 0.5000
As 0.0000 0.5000 0.0000

Output
calculated volume	19.53	Å³ per atom
formation energy from the elements	3.0	eV per formula unit
E_tot	-6.238	eV/atom

(3)
Compound: SrMoAs2
Source: Alexandria via LeMat-Bulk
Functional: GGA-PBE
Structure: optimized geometry

Lattice parameters (Å, degrees): 3.7662 3.7662 21.8003 90.00 90.00 120.00
Space group R3m (No. 160, hexagonal axes)
Asymmetric unit:
Sr 0.0000 0.0000 0.0000
Mo 0.0000 0.0000 0.8268
As 0.0000 0.0000 0.2286
As 0.0000 0.0000 0.4293

Output
calculated volume	22.32	Å³ per atom
energy above the most stable polymorph in this dataset	2.4	kJ/mol of atoms
formation energy from the elements	-1.6	eV per formula unit
E_tot	-5.856	eV/atom